--- w ---
## Mg2TeSe (PBEsol)

Data for a relaxed Mg2TeSe crystal.

The size of the total moment is 0.0 μB per formula unit.

The space group is Pmm2 (No. 25) and the conventional cell measures 4.037, 5.690 and 4.036 Å, with angles of 90.00, 90.00 and 90.00 degrees. Symmetry generates all atoms from Mg at (0.000, 0.000, 0.000), Mg at (0.500, 0.500, 0.498), Te at (0.500, 0.000, 0.500) and Se at (0.000, 0.500, 0.999).



--- x ---
## Mg2TeSe (PBEsol)

Data for a relaxed Mg2TeSe crystal.

The size of the total moment is 0.0 μB per formula unit.

The space group is R3m (No. 160, hexagonal axes) and the conventional cell measures 3.9799, 3.9799 and 20.5934 Å, with angles of 90.00, 90.00 and 120.00 degrees. Symmetry generates all atoms from Mg at (0.0000, 0.0000, 0.0000), Mg at (0.0000, 0.0000, 0.1772), Te at (0.0000, 0.0000, 0.4202) and Se at (0.0000, 0.0000, 0.5925).



w comes first in stability; the runner-up is 77 meV per atom higher.



--- w ---
## Mg2TlSe (PBEsol)

Data for a relaxed Mg2TlSe crystal.

The size of the total moment is 0.0 μB per formula unit.

The space group is I4/mmm (No. 139) and the conventional cell measures 4.598, 4.598 and 8.481 Å, with angles of 90.00, 90.00 and 90.00 degrees. Symmetry generates all atoms from Mg at (0.000, 0.500, 0.250), Tl at (0.000, 0.000, 0.000) and Se at (0.000, 0.000, 0.500).



--- x ---
## Mg2TlSe (PBEsol)

Data for a relaxed Mg2TlSe crystal.

The size of the total moment is 0.0 μB per formula unit.

The space group is I-42d (No. 122) and the conventional cell measures 7.634, 7.634 and 6.579 Å, with angles of 90.00, 90.00 and 90.00 degrees. Symmetry generates all atoms from Mg at (0.212, 0.250, 0.125), Tl at (0.000, 0.000, 0.500) and Se at (0.000, 0.000, 0.000).



x comes first in stability; the runner-up is 168 meV per atom higher.



--- w ---
## Tm2MgSe4 (PBEsol)

Data for a relaxed Tm2MgSe4 crystal.

The size of the total moment is 0.0 μB per formula unit.

The space group is Fd-3m (No. 227, origin choice 2) and the conventional cell measures 11.430, 11.430 and 11.430 Å, with angles of 90.00, 90.00 and 90.00 degrees. Symmetry generates all atoms from Tm at (0.000, 0.000, 0.000), Mg at (0.125, 0.125, 0.625) and Se at (0.005, 0.005, 0.245).



--- x ---
## Tm2MgSe4 (PBEsol)

Data for a relaxed Tm2MgSe4 crystal.

The size of the total moment is 0.0 μB per formula unit.

The space group is Pnma (No. 62) and the conventional cell measures 12.888, 3.919 and 13.590 Å, with angles of 90.00, 90.00 and 90.00 degrees. Symmetry generates all atoms from Tm at (0.113, 0.250, 0.076), Tm at (0.145, 0.250, 0.702), Mg at (0.116, 0.750, 0.445), Se at (0.014, 0.750, 0.617), Se at (0.032, 0.250, 0.881), Se at (0.219, 0.250, 0.254) and Se at (0.244, 0.250, 0.514).



w comes first in stability; the runner-up is 43 meV per atom higher.



--- w ---
## MgW2Se (PBEsol)

Data for a relaxed MgW2Se crystal.

The size of the total moment is 0.0 μB per formula unit.

The space group is Cmmm (No. 65) and the conventional cell measures 5.271, 8.694 and 2.883 Å, with angles of 90.00, 90.00 and 90.00 degrees. Symmetry generates all atoms from Mg at (0.000, 0.000, 0.000), W at (0.250, 0.250, 0.500) and Se at (0.000, 0.500, 0.000).



--- x ---
## MgW2Se (PBEsol)

Data for a relaxed MgW2Se crystal.

The size of the total moment is 0.0 μB per formula unit.

The space group is R-3m (No. 166, hexagonal axes) and the conventional cell measures 2.9402, 2.9402 and 26.4476 Å, with angles of 90.00, 90.00 and 120.00 degrees. Symmetry generates all atoms from Mg at (0.0000, 0.0000, 0.0000), W at (0.0000, 0.0000, 0.2414) and Se at (0.0000, 0.0000, 0.5000).



--- y ---
## MgW2Se (PBEsol)

Data for a relaxed MgW2Se crystal.

The size of the total moment is 0.0 μB per formula unit.

The space group is Cm (No. 8) and the conventional cell measures 9.111, 3.023 and 5.131 Å, with angles of 90.00, 107.49 and 90.00 degrees. Symmetry generates all atoms from Mg at (0.000, 0.000, 0.000), W at (0.053, 0.500, 0.509), W at (0.279, 0.500, 0.296) and Se at (0.251, 0.000, 0.861).



x comes first in stability; the runner-up is 38 meV per atom higher.